No. 1
## BeTlCd2 (PBE-GGA)

Data for crystalline BeTlCd2 at its relaxed geometry.

Geometry as POSCAR:
```
BeTlCd2
1.0
0.000 3.487 3.487
3.487 0.000 3.487
3.487 3.487 0.000
Be Tl Cd
1 1 2
direct
0.000 0.000 0.000
0.750 0.750 0.750
0.250 0.250 0.250
0.500 0.500 0.500
```

Output
Its space group is F-43m. The value obtained for the calculated total energy is -1.4608 eV per atom.

No. 2
## TaAl2Ir3 (PBE-GGA)

Data for crystalline TaAl2Ir3 at its relaxed geometry.

Geometry as POSCAR:
```
TaAl2Ir3
1.0
2.935 0.000 0.000
0.000 2.935 0.000
0.000 0.000 10.134
Ta Al Ir
1 2 3
direct
0.000 0.000 0.000
0.000 0.000 0.344
0.000 0.000 0.656
0.500 0.500 0.189
0.500 0.500 0.500
0.500 0.500 0.811
```

Output
Its space group is P4/mmm. The value obtained for the calculated total energy is -8.5280 eV per atom. For the magnetic moment, the calculation gives 0.002 μB/f.u.

No. 3
## Na4ZnNi2Ge (PBE-GGA)

Data for crystalline Na4ZnNi2Ge at its relaxed geometry.

Geometry as POSCAR:
```
Na4ZnNi2Ge
1.0
4.646 0.000 0.000
0.000 4.646 0.000
0.000 0.000 6.503
Na Zn Ni Ge
4 1 2 1
direct
0.000 0.000 0.000
0.000 0.500 0.244
0.500 0.000 0.756
0.500 0.500 0.500
0.500 0.500 0.000
0.000 0.500 0.721
0.500 0.000 0.279
0.000 0.000 0.500
```

Output
Its space group is P-4m2. The value obtained for the calculated total energy is -2.5703 eV per atom. For the magnetic moment, the calculation gives 0.007 μB/f.u.

No. 4
## YLuGaNi (PBE-GGA)

Data for crystalline YLuGaNi at its relaxed geometry.

Geometry as POSCAR:
```
YLuGaNi
1.0
0.000 3.407 3.407
3.407 0.000 3.407
3.407 3.407 0.000
Y Lu Ga Ni
1 1 1 1
direct
0.000 0.000 0.000
0.250 0.250 0.250
0.500 0.500 0.500
0.750 0.750 0.750
```

Output
Its space group is F-43m. The value obtained for the calculated total energy is -4.9731 eV per atom. For the magnetic moment, the calculation gives 0.226 μB/f.u.

No. 5
## BaGdPu (PBE-GGA)

Data for crystalline BaGdPu at its relaxed geometry.

Geometry as POSCAR:
```
BaGdPu
1.0
0.000 3.994 3.994
3.994 0.000 3.994
3.994 3.994 0.000
Ba Gd Pu
1 1 1
direct
0.000 0.000 0.000
0.500 0.500 0.500
0.750 0.750 0.750
```

Output
Its space group is F-43m. The distance to the lowest polymorph of the same formula is 0.000 eV/f.u. The value obtained for the calculated total energy is -5.9833 eV per atom. For the magnetic moment, the calculation gives 7.659 μB/f.u.

No. 6
## AcInAu (PBE-GGA)

Data for crystalline AcInAu at its relaxed geometry.

Geometry as POSCAR:
```
AcInAu
1.0
0.000 3.728 3.728
3.728 0.000 3.728
3.728 3.728 0.000
Ac In Au
1 1 1
direct
0.000 0.000 0.000
0.250 0.250 0.250
0.750 0.750 0.750
```

Output
Its space group is F-43m. The distance to the lowest polymorph of the same formula is 1.502 eV/f.u. The value obtained for the calculated total energy is -3.4783 eV per atom. For the magnetic moment, the calculation gives 0.002 μB/f.u.

No. 7
## GdAuSeO (PBE-GGA)

Data for crystalline GdAuSeO at its relaxed geometry.

Geometry as POSCAR:
```
GdAuSeO
1.0
5.658 0.000 0.000
0.000 5.676 0.000
0.000 0.000 9.575
Gd Au Se O
4 4 4 4
direct
0.000 0.000 0.000
0.000 0.500 0.234
0.500 0.000 0.234
0.500 0.500 0.000
0.250 0.015 0.617
0.250 0.515 0.617
0.750 0.485 0.617
0.750 0.985 0.617
0.000 0.000 0.396
0.000 0.500 0.837
0.500 0.000 0.837
0.500 0.500 0.396
0.249 0.749 0.117
0.251 0.249 0.117
0.749 0.751 0.117
0.751 0.251 0.117
```

Output
Its space group is Pba2. The value obtained for the calculated total energy is -5.9976 eV per atom. For the magnetic moment, the calculation gives 0.001 μB/f.u.

No. 8
## Lu2Zr4Ga3N3 (PBE-GGA)

Data for crystalline Lu2Zr4Ga3N3 at its relaxed geometry.

Geometry as POSCAR:
```
Lu2Zr4Ga3N3
1.0
4.975 -2.872 0.000
4.975 2.872 0.000
-3.311 0.000 14.106
Lu Zr Ga N
4 8 6 6
direct
0.034 0.870 0.600
0.130 0.966 0.900
0.870 0.034 0.100
0.966 0.130 0.400
0.195 0.359 0.085
0.302 0.475 0.415
0.359 0.195 0.585
0.475 0.302 0.915
0.525 0.698 0.085
0.641 0.805 0.415
0.698 0.525 0.585
0.805 0.641 0.915
0.084 0.339 0.750
0.339 0.084 0.250
0.495 0.505 0.250
0.505 0.495 0.750
0.661 0.916 0.750
0.916 0.661 0.250
0.000 0.500 0.500
0.162 0.675 0.000
0.325 0.838 0.500
0.500 0.000 0.000
0.675 0.162 0.500
0.838 0.325 0.000
```

Output
Its space group is C2/c. The value obtained for the calculated total energy is -7.6020 eV per atom. For the magnetic moment, the calculation gives 0.003 μB/f.u.